Density functional theory data (PBE) for K3U2S3O4 after structural relaxation.

POSCAR file:
```
K3U2S3O4
1.0
4.243 0.000 0.000
0.000 5.363 0.000
-2.121 -2.681 12.046
K U S O
3 2 3 4
direct
0.502 0.500 0.000 K
0.304 0.301 0.603 K
0.701 0.699 0.397 K
0.113 0.110 0.221 U
0.892 0.890 0.779 U
0.002 0.000 0.000 S
0.108 0.605 0.211 S
0.897 0.395 0.789 S
0.392 0.889 0.779 O
0.193 0.191 0.381 O
0.812 0.809 0.619 O
0.613 0.111 0.221 O
```

DOS at the Fermi energy, states/eV per cell: 6.7
ΔE_f (raw), eV per atom: -2.136
Energy, eV per atom: -6.98

***

Density functional theory data (PBE) for KSrSe2O6 after structural relaxation.

POSCAR file:
```
KSrSe2O6
1.0
7.200 -0.258 0.184
-1.137 7.114 0.184
-1.575 -1.781 7.051
K Sr Se O
2 2 4 12
direct
0.193 0.807 0.250 K
0.807 0.193 0.750 K
0.594 0.406 0.250 Sr
0.406 0.594 0.750 Sr
0.300 0.111 0.797 Se
0.889 0.700 0.703 Se
0.700 0.889 0.203 Se
0.111 0.300 0.297 Se
0.930 0.379 0.174 O
0.621 0.070 0.326 O
0.070 0.621 0.826 O
0.379 0.930 0.674 O
0.211 0.166 0.141 O
0.834 0.789 0.359 O
0.789 0.834 0.859 O
0.166 0.211 0.641 O
0.296 0.503 0.393 O
0.497 0.704 0.107 O
0.704 0.497 0.607 O
0.503 0.296 0.893 O
```

DOS at the Fermi energy, states/eV per cell: 5.9
ΔE_f (raw), eV per atom: -1.467
Energy, eV per atom: -5.42

***

Density functional theory data (PBE) for HfAlBi3 after structural relaxation.

POSCAR file:
```
HfAlBi3
1.0
-2.259 0.621 4.818
-0.658 -5.304 0.375
4.813 -0.434 2.313
Hf Bi Al
1 3 1
direct
0.500 0.500 0.500 Hf
0.000 0.500 0.000 Bi
0.000 0.000 0.500 Bi
0.500 0.000 0.000 Bi
0.000 0.000 0.000 Al
```

Formation energy from the elements, eV/atom: 0.853
DOS at the Fermi energy, states/eV per cell: 5.3
Energy above the most stable polymorph in this dataset, meV/atom: 358
Energy, eV per atom: -4.22

***

Density functional theory data (PBE) for AlSiAs2 after structural relaxation.

POSCAR file:
```
AlSiAs2
1.0
3.325 0.000 0.000
0.000 3.281 0.000
0.000 0.000 6.405
As Si Al
2 1 1
direct
0.000 0.000 0.004 As
0.000 0.000 0.496 As
0.500 0.500 0.250 Si
0.500 0.500 0.750 Al
```

DOS at the Fermi energy, states/eV per cell: 2.2
ΔE_f (raw), eV per atom: 0.327
Energy above the most stable polymorph in this dataset, meV/atom: 376
Energy, eV per atom: -4.29

***

Density functional theory data (PBE) for AcTb6Sm2 after structural relaxation.

POSCAR file:
```
AcTb6Sm2
1.0
1.821 -3.154 0.000
1.821 3.154 0.000
0.000 0.000 26.784
Ac Tb Sm
1 6 2
direct
0.000 0.000 0.000 Ac
0.333 0.667 0.883 Tb
0.000 0.000 0.437 Tb
0.000 0.000 0.779 Tb
0.000 0.000 0.221 Tb
0.000 0.000 0.563 Tb
0.333 0.667 0.117 Tb
0.333 0.667 0.332 Sm
0.333 0.667 0.668 Sm
```

Formation energy from the elements, eV/atom: 0.081
DOS at the Fermi energy, states/eV per cell: 15.8
Energy above the most stable polymorph in this dataset, meV/atom: 0
Energy, eV per atom: -4.51

***

Density functional theory data (PBE) for ZnCu5Au4 after structural relaxation.

POSCAR file:
```
ZnCu5Au4
1.0
-0.748 2.853 -2.728
-2.419 -3.695 -3.201
-4.042 2.146 6.312
Zn Cu Au
1 5 4
direct
0.500 0.000 0.000 Zn
0.304 0.213 0.608 Cu
0.099 0.398 0.199 Cu
0.901 0.602 0.801 Cu
0.500 0.500 0.000 Cu
0.696 0.787 0.392 Cu
0.700 0.293 0.401 Au
0.096 0.878 0.192 Au
0.300 0.707 0.599 Au
0.904 0.122 0.808 Au
```

Formation energy from the elements, eV/atom: -0.067
DOS at the Fermi energy, states/eV per cell: 2.4
Energy above the most stable polymorph in this dataset, meV/atom: 0
Energy, eV per atom: -3.55

***

Density functional theory data (PBE) for Ho2Al2Ge3 after structural relaxation.

POSCAR file:
```
Ho2Al2Ge3
1.0
-3.706 1.759 0.734
-4.856 -5.932 1.531
0.046 1.018 9.624
Ho Al Ge
4 4 6
direct
0.268 0.129 0.336 Ho
0.732 0.871 0.664 Ho
0.405 0.248 0.943 Ho
0.595 0.752 0.057 Ho
0.051 0.208 0.690 Al
0.949 0.792 0.310 Al
0.403 0.527 0.666 Al
0.597 0.473 0.334 Al
0.094 0.936 0.876 Ge
0.906 0.064 0.124 Ge
0.166 0.492 0.176 Ge
0.834 0.508 0.824 Ge
0.384 0.767 0.465 Ge
0.616 0.233 0.535 Ge
```

Formation energy from the elements, eV/atom: -0.540
DOS at the Fermi energy, states/eV per cell: 6.6
Energy above the most stable polymorph in this dataset, meV/atom: 0
Energy, eV per atom: -4.90

***

Density functional theory data (PBE) for TeP2Pb after structural relaxation.

POSCAR file:
```
TeP2Pb
1.0
5.036 0.000 0.000
0.000 5.036 0.000
0.000 0.000 3.507
P Pb Te
2 1 1
direct
0.000 0.000 0.000 P
0.500 0.500 0.000 P
0.500 0.000 0.500 Pb
0.000 0.500 0.500 Te
```

DOS at the Fermi energy, states/eV per cell: 1.3
ΔE_f (raw), eV per atom: 0.524
Energy above the most stable polymorph in this dataset, meV/atom: 417
Energy, eV per atom: -3.89

***

Density functional theory data (PBE) for CdGeSe2 after structural relaxation.

POSCAR file:
```
CdGeSe2
1.0
6.228 0.000 0.000
0.000 6.228 0.000
3.114 3.114 6.391
Ge Se Cd
2 4 2
direct
0.500 0.500 0.000 Ge
0.250 0.750 0.500 Ge
0.630 0.125 0.250 Se
0.120 0.625 0.250 Se
0.375 0.370 0.750 Se
0.875 0.880 0.750 Se
0.000 0.000 0.000 Cd
0.750 0.250 0.500 Cd
```

DOS at the Fermi energy, states/eV per cell: 0.0
ΔE_f (raw), eV per atom: -0.263
Energy, eV per atom: -3.39

***

Density functional theory data (PBE) for HoInO after structural relaxation.

POSCAR file:
```
HoInO
1.0
-2.957 0.311 -2.203
2.959 -1.912 -1.133
-2.318 -5.011 2.403
Ho O In
1 1 1
direct
0.667 0.333 0.500 Ho
0.333 0.667 0.500 O
0.000 0.000 0.000 In
```

DOS at the Fermi energy, states/eV per cell: 2.1
ΔE_f (raw), eV per atom: -1.764
Energy, eV per atom: -5.86

***

Density functional theory data (PBE) for Ho2ZnGa3Ir4 after structural relaxation.

POSCAR file:
```
Ho2ZnGa3Ir4
1.0
4.156 0.000 0.000
0.000 4.156 0.000
0.000 0.000 10.500
Ho Zn Ga Ir
2 1 3 4
direct
0.500 0.000 0.240 Ho
0.000 0.500 0.760 Ho
0.500 0.500 0.500 Zn
0.000 0.000 0.500 Ga
0.500 0.000 0.871 Ga
0.000 0.500 0.129 Ga
0.500 0.500 0.000 Ir
0.000 0.000 0.000 Ir
0.500 0.000 0.639 Ir
0.000 0.500 0.361 Ir
```

Formation energy from the elements, eV/atom: -0.651
DOS at the Fermi energy, states/eV per cell: 5.1
Energy, eV per atom: -6.15

***

Density functional theory data (PBE) for K2NbO4 after structural relaxation.

POSCAR file:
```
K2NbO4
1.0
-0.378 -0.964 -3.949
3.832 -1.406 -0.023
-0.561 -7.450 -0.238
Nb K O
1 2 4
direct
0.000 0.000 0.000 Nb
0.345 0.345 0.311 K
0.655 0.655 0.689 K
0.143 0.143 0.715 O
0.857 0.857 0.285 O
0.000 0.500 0.000 O
0.500 0.000 0.000 O
```

DOS at the Fermi energy, states/eV per cell: 2.8
ΔE_f (raw), eV per atom: -1.986
Energy, eV per atom: -6.57

***

Density functional theory data (PBE) for LiCuPd2N after structural relaxation.

POSCAR file:
```
LiCuPd2N
1.0
4.089 0.000 0.000
0.000 4.089 0.000
0.000 0.000 3.819
Li Cu Pd N
1 1 2 1
direct
0.000 0.000 0.500 Li
0.500 0.500 0.500 Cu
0.000 0.500 0.000 Pd
0.500 0.000 0.000 Pd
0.000 0.000 0.000 N
```

DOS at the Fermi energy, states/eV per cell: 3.2
ΔE_f (raw), eV per atom: 0.021
Energy above the most stable polymorph in this dataset, meV/atom: 54
Energy, eV per atom: -4.92

***

Density functional theory data (PBE) for Fe2PbCl after structural relaxation.

POSCAR file:
```
Fe2PbCl
1.0
-5.990 -3.820 4.074
-3.396 -4.688 5.794
-0.488 2.552 2.023
Pb Fe Cl
1 2 1
direct
0.479 0.479 0.620 Pb
0.101 0.101 0.084 Fe
0.663 0.663 0.551 Fe
0.257 0.257 0.245 Cl
```

DOS at the Fermi energy, states/eV per cell: 2.9
ΔE_f (raw), eV per atom: 0.069
Energy above the most stable polymorph in this dataset, meV/atom: 5
Energy, eV per atom: -5.55

***

Density functional theory data (PBE) for Pr5SnRh2 after structural relaxation.

POSCAR file:
```
Pr5SnRh2
1.0
-5.483 5.907 0.336
-1.952 -1.374 -7.705
-1.117 -6.870 5.731
Pr Sn Rh
10 2 4
direct
0.524 0.703 0.727 Pr
0.797 0.976 0.273 Pr
0.000 0.000 0.000 Pr
0.500 0.500 0.000 Pr
0.203 0.024 0.727 Pr
0.703 0.203 0.727 Pr
0.024 0.524 0.727 Pr
0.297 0.797 0.273 Pr
0.976 0.476 0.273 Pr
0.476 0.297 0.273 Pr
0.750 0.750 0.500 Sn
0.250 0.250 0.500 Sn
0.138 0.362 0.000 Rh
0.638 0.138 0.000 Rh
0.362 0.862 0.000 Rh
0.862 0.638 0.000 Rh
```

Formation energy from the elements, eV/atom: -0.594
DOS at the Fermi energy, states/eV per cell: 17.6
Energy, eV per atom: -5.92

***

Density functional theory data (PBE) for Sm4BS3 after structural relaxation.

POSCAR file:
```
Sm4BS3
1.0
-0.910 3.869 -0.054
-2.293 -0.630 -6.512
-5.248 -1.174 4.375
S B Sm
3 1 4
direct
0.000 0.000 0.500 S
0.500 0.500 0.500 S
0.000 0.500 0.000 S
0.500 0.000 0.000 B
0.000 0.231 0.231 Sm
0.500 0.763 0.237 Sm
0.000 0.769 0.769 Sm
0.500 0.237 0.763 Sm
```

DOS at the Fermi energy, states/eV per cell: 2.4
ΔE_f (raw), eV per atom: -1.594
Energy, eV per atom: -6.34

***

Density functional theory data (PBE) for Pm4BiTe2 after structural relaxation.

POSCAR file:
```
Pm4BiTe2
1.0
-1.669 3.201 2.454
-2.279 -6.487 3.030
12.131 -0.253 8.580
Pm Bi Te
8 2 4
direct
0.780 0.560 0.129 Pm
0.780 0.560 0.371 Pm
0.220 0.440 0.871 Pm
0.220 0.440 0.629 Pm
0.937 0.874 0.750 Pm
0.063 0.126 0.250 Pm
0.500 0.000 0.000 Pm
0.500 0.000 0.500 Pm
0.598 0.197 0.750 Bi
0.402 0.803 0.250 Bi
0.141 0.282 0.439 Te
0.859 0.718 0.939 Te
0.141 0.282 0.061 Te
0.859 0.718 0.561 Te
```

DOS at the Fermi energy, states/eV per cell: 11.3
ΔE_f (raw), eV per atom: -1.019
Energy, eV per atom: -5.19

***

Density functional theory data (PBE) for P2OsPb after structural relaxation.

POSCAR file:
```
P2OsPb
1.0
-3.229 -0.599 -5.074
2.763 -5.253 -1.139
-4.000 -5.493 -0.406
Pb P Os
2 4 2
direct
0.000 0.000 0.000 Pb
0.750 0.250 0.500 Pb
0.543 0.125 0.250 P
0.207 0.625 0.250 P
0.375 0.457 0.750 P
0.875 0.793 0.750 P
0.500 0.500 0.000 Os
0.250 0.750 0.500 Os
```

Formation energy from the elements, eV/atom: 0.099
DOS at the Fermi energy, states/eV per cell: 3.6
Energy, eV per atom: -6.34

***

Density functional theory data (PBE) for LiTeRu3 after structural relaxation.

POSCAR file:
```
LiTeRu3
1.0
-2.032 1.062 -3.517
1.043 -3.687 -1.716
-3.523 -1.705 1.520
Ru Te Li
3 1 1
direct
0.000 0.500 0.000 Ru
0.000 0.000 0.500 Ru
0.500 0.000 0.000 Ru
0.500 0.500 0.500 Te
0.000 0.000 0.000 Li
```

DOS at the Fermi energy, states/eV per cell: 3.7
ΔE_f (raw), eV per atom: 0.941
Energy above the most stable polymorph in this dataset, meV/atom: 0
Energy, eV per atom: -5.64

***

Density functional theory data (PBE) for PrSm4Er15 after structural relaxation.

POSCAR file:
```
PrSm4Er15
1.0
5.011 0.000 0.000
0.000 5.011 0.000
0.000 0.000 24.968
Pr Sm Er
1 4 15
direct
0.000 0.000 0.000 Pr
0.000 0.000 0.200 Sm
0.000 0.000 0.400 Sm
0.000 0.000 0.600 Sm
0.000 0.000 0.800 Sm
0.500 0.500 0.000 Er
0.500 0.500 0.201 Er
0.500 0.500 0.400 Er
0.500 0.500 0.600 Er
0.500 0.500 0.799 Er
0.500 0.000 0.101 Er
0.500 0.000 0.300 Er
0.500 0.000 0.500 Er
0.500 0.000 0.700 Er
0.500 0.000 0.899 Er
0.000 0.500 0.101 Er
0.000 0.500 0.300 Er
0.000 0.500 0.500 Er
0.000 0.500 0.700 Er
0.000 0.500 0.899 Er
```

Formation energy from the elements, eV/atom: 0.023
DOS at the Fermi energy, states/eV per cell: 27.0
Energy, eV per atom: -4.58